Record 1
{
  "formula": "IrW",
  "functional": "PBE",
  "state": "relaxed",
  "lattice_angstrom": [[4.873, 0.000, 0.000], [0.000, 4.467, 0.000], [0.000, 0.000, 5.595]],
  "species": ["Ir", "Ir", "Ir", "Ir", "W", "W", "W", "W"],
  "frac_coords": [[0.087, 0.250, 0.125], [0.413, 0.750, 0.625], [0.587, 0.250, 0.375], [0.913, 0.750, 0.875], [0.093, 0.250, 0.622], [0.407, 0.750, 0.122], [0.593, 0.250, 0.878], [0.907, 0.750, 0.378]],
  "e_above_lowest_polymorph_ev_per_atom": 0.0758,
  "crystal_system": "orthorhombic",
  "formation_energy_ev_per_atom": -0.225,
  "total_energy_ry_per_atom": -0.8182
}

Record 2
{
  "formula": "Pr4P2SeN",
  "functional": "PBE",
  "state": "relaxed",
  "lattice_angstrom": [[-3.624, 3.624, 4.030], [3.624, -3.624, 4.030], [3.624, 3.624, -4.030]],
  "species": ["Pr", "Pr", "Pr", "Pr", "P", "P", "Se", "N"],
  "frac_coords": [[0.122, 0.682, 0.000], [0.318, 0.318, 0.440], [0.682, 0.122, 0.000], [0.878, 0.878, 0.560], [0.250, 0.750, 0.500], [0.750, 0.250, 0.500], [0.500, 0.500, 0.000], [0.000, 0.000, 0.000]],
  "crystal_system": "tetragonal",
  "total_energy_ry_per_atom": -0.4745
}

Record 3
{
  "formula": "AlCo4Si",
  "functional": "PBE",
  "state": "relaxed",
  "lattice_angstrom": [[0.000, 3.288, 3.288], [3.288, 0.000, 3.288], [3.288, 3.288, 0.000]],
  "species": ["Al", "Co", "Co", "Co", "Co", "Si"],
  "frac_coords": [[0.000, 0.000, 0.000], [0.125, 0.625, 0.625], [0.625, 0.125, 0.625], [0.625, 0.625, 0.125], [0.625, 0.625, 0.625], [0.250, 0.250, 0.250]],
  "crystal_system": "cubic",
  "total_energy_ry_per_atom": -0.4594
}